Here is a PBEsol-optimized structure of BaZn4Te from Alexandria. Energies are from meta-GGA SCAN.

Summary:
Symmetry ... F-43m
M_tot ... 0.0 Bohr magnetons per cell
D(E_F) ... 0.378 states/eV/atom
Electronic total energy ... -21.8768 eV per atom
E_form (uncorrected) ... -0.066 eV/atom

```
data_BaZn4Te
_symmetry_space_group_name_H-M 'P 1'
_symmetry_Int_Tables_number 1
_cell_length_a 5.747
_cell_length_b 5.747
_cell_length_c 5.747
_cell_angle_alpha 60.00
_cell_angle_beta 60.00
_cell_angle_gamma 60.00
loop_
_symmetry_equiv_pos_as_xyz
'x,y,z'
loop_
_atom_site_label
_atom_site_fract_x
_atom_site_fract_y
_atom_site_fract_z
_atom_site_occupancy
Ba1 0.750 0.750 0.750 1
Te1 0.000 0.000 0.000 1
Zn1 0.372 0.372 0.372 1
Zn2 0.372 0.372 0.884 1
Zn3 0.884 0.372 0.372 1
Zn4 0.372 0.884 0.372 1
```